1.
This record from Alexandria describes crystalline CaCoMo at its relaxed geometry. The functional is GGA-PBE.

Summary:
ΔE to the lowest computed polymorph (meV/atom): 85
V (Å³/cell): 129.2
Crystal system: monoclinic
Space group: P2_1/m
M_tot (μB per formula unit): 0.000

Cell lengths 4.571, 3.982, 7.141 Å; angles 90.00, 96.10, 90.00 degrees
Sites, in units of the cell vectors:
Co 0.664 0.250 0.509
Ca 0.274 0.250 0.159
Ca 0.726 0.750 0.841
Mo 0.168 0.250 0.623
Co 0.336 0.750 0.491
Mo 0.832 0.750 0.377


2.
This record from Alexandria describes crystalline CaCoMo at its relaxed geometry. The functional is GGA-PBE.

Summary:
ΔE to the lowest computed polymorph (meV/atom): 173
V (Å³/cell): 115.5
Crystal system: monoclinic
Space group: Pm
M_tot (μB per formula unit): 0.000

Cell lengths 4.804, 4.359, 5.982 Å; angles 90.00, 112.78, 90.00 degrees
Sites, in units of the cell vectors:
Mo 0.225 0.500 0.729
Mo 0.881 0.000 0.725
Ca 0.020 0.500 0.184
Ca 0.532 0.000 0.178
Co 0.653 0.500 0.605
Co 0.336 0.000 0.607


3.
This record from Alexandria describes crystalline CaCoMo at its relaxed geometry. The functional is GGA-PBE.

Summary:
ΔE to the lowest computed polymorph (meV/atom): 83
V (Å³/cell): 116.2
Crystal system: monoclinic
Space group: P2_1/m
M_tot (μB per formula unit): 0.000

Cell lengths 5.216, 4.088, 5.582 Å; angles 90.00, 102.49, 90.00 degrees
Sites, in units of the cell vectors:
Ca 0.261 0.250 0.067
Co 0.594 0.750 0.413
Ca 0.739 0.750 0.933
Co 0.406 0.250 0.587
Mo 0.847 0.250 0.474
Mo 0.153 0.750 0.526